# 1
The following is a PBE-GGA calculation of crystalline Dy12Cu3O5 at its relaxed geometry, from the Alexandria database.

a = 15.141 Å, b = 15.141 Å, c = 15.141 Å
α = 90.00°, β = 90.00°, γ = 90.00°
Space group Ia-3d (No. 230)
One atom of each set of equivalent atoms:
1 Dy 0.036 0.055 0.650 x96
2 Cu 0.000 0.250 0.125 x24
3 O 0.000 0.000 0.000 x16
4 O 0.000 0.250 0.375 x24

Values from the calculation:
- Uncorrected formation energy: -1458.0 meV/atom

=====

# 2
The following is a PBE-GGA calculation of crystalline DyCu2O4 at its relaxed geometry, from the Alexandria database.

a = 5.692 Å, b = 5.692 Å, c = 9.634 Å
α = 90.00°, β = 90.00°, γ = 90.00°
Space group I4_1/a (No. 88, origin choice 2)
One atom of each set of equivalent atoms:
1 Dy 0.000 0.250 0.125 x4
2 Cu 0.000 0.000 0.500 x8
3 O 0.148 0.458 0.323 x16

Values from the calculation:
- Uncorrected formation energy: -1679.1 meV/atom

=====

# 3
The following is a PBE-GGA calculation of crystalline Dy2Cu2O5 at its relaxed geometry, from the Alexandria database.

a = 10.912 Å, b = 3.534 Å, c = 12.557 Å
α = 90.00°, β = 90.00°, γ = 90.00°
Space group Pna2_1 (No. 33)
One atom of each set of equivalent atoms:
1 Dy 0.043 0.223 0.000 x4
2 Dy 0.207 0.221 0.328 x4
3 Cu 0.012 0.340 0.717 x4
4 Cu 0.238 0.156 0.611 x4
5 O 0.072 0.274 0.566 x4
6 O 0.077 0.727 0.356 x4
7 O 0.125 0.350 0.164 x4
8 O 0.174 0.726 0.972 x4
9 O 0.178 0.220 0.762 x4

Values from the calculation:
- Uncorrected formation energy: -2205.1 meV/atom

=====

# 4
The following is a PBE-GGA calculation of crystalline DyCu6O12 at its relaxed geometry, from the Alexandria database.

a = 7.465 Å, b = 7.465 Å, c = 7.465 Å
α = 90.00°, β = 90.00°, γ = 90.00°
Space group Im-3 (No. 204)
One atom of each set of equivalent atoms:
1 Dy 0.000 0.000 0.000 x2
2 Cu 0.000 0.164 0.500 x12
3 O 0.000 0.328 0.150 x24

Values from the calculation:
- Uncorrected formation energy: -248.6 meV/atom

=====

# 5
The following is a PBE-GGA calculation of crystalline DyCu3O4 at its relaxed geometry, from the Alexandria database.

a = 5.639 Å, b = 5.639 Å, c = 5.639 Å
α = 90.00°, β = 90.00°, γ = 90.00°
Space group Pm-3n (No. 223)
One atom of each set of equivalent atoms:
1 Dy 0.000 0.000 0.000 x2
2 Cu 0.000 0.250 0.500 x6
3 O 0.250 0.250 0.250 x8

Values from the calculation:
- Uncorrected formation energy: -1442.5 meV/atom

=====

# 6
The following is a PBE-GGA calculation of crystalline Dy3CuO at its relaxed geometry, from the Alexandria database.

a = 4.692 Å, b = 4.692 Å, c = 4.692 Å
α = 90.00°, β = 90.00°, γ = 90.00°
Space group Pm-3m (No. 221)
One atom of each set of equivalent atoms:
1 Dy 0.000 0.000 0.500 x3
2 Cu 0.500 0.500 0.500 x1
3 O 0.000 0.000 0.000 x1

Values from the calculation:
- Uncorrected formation energy: -1129.1 meV/atom

=====

# 7
The following is a PBE-GGA calculation of crystalline DyCuO at its relaxed geometry, from the Alexandria database.

a = 3.581 Å, b = 3.581 Å, c = 15.501 Å
α = 90.00°, β = 90.00°, γ = 90.00°
Space group I4/mmm (No. 139)
One atom of each set of equivalent atoms:
1 Dy 0.000 0.000 0.090 x4
2 Cu 0.000 0.000 0.276 x4
3 O 0.000 0.500 0.000 x4

Values from the calculation:
- Uncorrected formation energy: -1446.5 meV/atom

=====

# 8
The following is a PBE-GGA calculation of crystalline Dy2Cu2O5 at its relaxed geometry, from the Alexandria database.

a = 6.264 Å, b = 11.216 Å, c = 7.184 Å
α = 90.00°, β = 90.00°, γ = 90.00°
Space group Pnma (No. 62)
One atom of each set of equivalent atoms:
1 Dy 0.250 0.022 0.120 x8
2 Cu 0.071 0.250 0.346 x4
3 Cu 0.089 0.250 0.872 x4
4 O 0.070 0.086 0.857 x8
5 O 0.096 0.088 0.386 x8
6 O 0.245 0.750 0.619 x4

Values from the calculation:
- Uncorrected formation energy: -2219.8 meV/atom

=====

Look up the uncorrected formation energy of the seventh one. -1446.5 meV/atom